# GaAgPt2 | the Alexandria database | PBE | relaxed
# ΔE_f   -0.2041 eV/atom
# DOS at the Fermi energy   1.4 states/eV/f.u.
data_GaAgPt2
_chemical_formula_sum 'Ga3 Ag3 Pt6'
_space_group_name_H-M_alt 'R 3 m'
_space_group_IT_number 160
_space_group_name_Hall 'R 3 -2"'
_cell_length_a 4.2896
_cell_length_b 4.2896
_cell_length_c 13.0795
_cell_angle_alpha 90.00
_cell_angle_beta 90.00
_cell_angle_gamma 120.00
loop_
_atom_site_label
_atom_site_fract_x
_atom_site_fract_y
_atom_site_fract_z
_atom_site_occupancy
Ga1 0.0000 0.0000 0.0000 1
Ag1 0.0000 0.0000 0.8010 1
Pt1 0.0000 0.0000 0.3606 1
Pt2 0.0000 0.0000 0.5802 1